No. 1
DFT (PBE-GGA) results for an optimized crystal structure of Cu2SbMoCl.

a = 4.7998 Å, b = 4.7998 Å, c = 5.6185 Å
α = 90.00°, β = 90.00°, γ = 90.00°
Fractional positions:
Cu 0.0000 0.5000 0.0000
Cu 0.5000 0.0000 0.0000
Sb 0.0000 0.0000 0.0000
Mo 0.0000 0.0000 0.5000
Cl 0.5000 0.5000 0.5000

Calculated values
SG: No. 123
Energy: -20.6 eV per cell
Magnetic moment: 4.0 μB/f.u.

No. 2
DFT (PBE-GGA) results for an optimized crystal structure of CuMoSe2Cl.

a = 5.2718 Å, b = 5.2718 Å, c = 4.1357 Å
α = 90.00°, β = 90.00°, γ = 90.00°
Fractional positions:
Cu 0.0000 0.0000 0.0000
Mo 0.5000 0.5000 0.0000
Se 0.0000 0.5000 0.5000
Se 0.5000 0.0000 0.5000
Cl 0.0000 0.0000 0.5000

Calculated values
SG: No. 123
Energy: -18.2 eV per cell
Energy above the most stable polymorph in this dataset: 718 meV per atom
Magnetic moment: 3.9 μB/f.u.

No. 3
DFT (PBE-GGA) results for an optimized crystal structure of CuMoSe2Cl.

a = 4.7977 Å, b = 4.7977 Å, c = 5.1190 Å
α = 90.00°, β = 90.00°, γ = 90.00°
Fractional positions:
Cu 0.0000 0.0000 0.0000
Mo 0.0000 0.0000 0.5000
Se 0.0000 0.5000 0.5000
Se 0.5000 0.0000 0.5000
Cl 0.5000 0.5000 0.0000

Calculated values
SG: No. 123
Energy: -21.8 eV per cell
Energy above the most stable polymorph in this dataset: 0 meV per atom
Magnetic moment: 0.0 μB/f.u.

No. 4
DFT (PBE-GGA) results for an optimized crystal structure of SrCuMo2Cl.

a = 4.5482 Å, b = 4.5482 Å, c = 6.6292 Å
α = 90.00°, β = 90.00°, γ = 90.00°
Fractional positions:
Sr 0.0000 0.0000 0.0000
Cu 0.5000 0.5000 0.5000
Mo 0.0000 0.5000 0.5000
Mo 0.5000 0.0000 0.5000
Cl 0.5000 0.5000 0.0000

Calculated values
SG: No. 123
Energy: -23.8 eV per cell
Magnetic moment: 2.9 μB/f.u.

No. 5
DFT (PBE-GGA) results for an optimized crystal structure of TlCu2MoCl8.

a = 6.1618 Å, b = 7.0055 Å, c = 8.4324 Å
α = 70.03°, β = 83.34°, γ = 86.01°
Fractional positions:
Tl 0.0000 0.0000 0.0000
Cu 0.4750 0.5257 0.8205
Cu 0.5250 0.4743 0.1795
Mo 0.0000 0.5000 0.5000
Cl 0.1148 0.4794 0.7693
Cl 0.1509 0.8222 0.3738
Cl 0.3374 0.3389 0.4368
Cl 0.4635 0.7639 0.9574
Cl 0.5365 0.2361 0.0426
Cl 0.6626 0.6611 0.5632
Cl 0.8491 0.1778 0.6262
Cl 0.8852 0.5206 0.2307

Calculated values
SG: No. 2
Energy: -45.1 eV per cell
Magnetic moment: 1.0 μB/f.u.

No. 6
DFT (PBE-GGA) results for an optimized crystal structure of Tl2CuMoCl6.

a = 12.5043 Å, b = 12.5043 Å, c = 12.5043 Å
α = 33.03°, β = 33.03°, γ = 33.03°
Fractional positions:
Tl 0.1248 0.1248 0.1248
Tl 0.2993 0.2993 0.2993
Tl 0.7007 0.7007 0.7007
Tl 0.8752 0.8752 0.8752
Cu 0.4170 0.4170 0.4170
Cu 0.5830 0.5830 0.5830
Mo 0.0000 0.0000 0.0000
Mo 0.5000 0.5000 0.5000
Cl 0.1350 0.6214 0.6214
Cl 0.2048 0.2048 0.7110
Cl 0.2048 0.7110 0.2048
Cl 0.2890 0.7952 0.7952
Cl 0.3786 0.3786 0.8650
Cl 0.3786 0.8650 0.3786
Cl 0.6214 0.1350 0.6214
Cl 0.6214 0.6214 0.1350
Cl 0.7110 0.2048 0.2048
Cl 0.7952 0.2890 0.7952
Cl 0.7952 0.7952 0.2890
Cl 0.8650 0.3786 0.3786

Calculated values
SG: No. 166
Energy: -77.6 eV per cell
Magnetic moment: 3.0 μB/f.u.

No. 7
DFT (PBE-GGA) results for an optimized crystal structure of TlCuMoCl6.

a = 6.4568 Å, b = 6.4568 Å, c = 7.1062 Å
α = 90.00°, β = 90.00°, γ = 120.00°
Fractional positions:
Tl 0.0000 0.0000 0.0000
Cu 0.3333 0.6667 0.5000
Mo 0.6667 0.3333 0.5000
Cl 0.3735 0.0103 0.6930
Cl 0.3735 0.3632 0.3070
Cl 0.6368 0.0103 0.3070
Cl 0.6368 0.6265 0.6930
Cl 0.9897 0.3632 0.6930
Cl 0.9897 0.6265 0.3070

Calculated values
SG: No. 149
Energy: -35.5 eV per cell
Magnetic moment: 2.0 μB/f.u.

No. 8
DFT (PBE-GGA) results for an optimized crystal structure of Zr2CuMoCl.

a = 5.0317 Å, b = 5.0317 Å, c = 4.7861 Å
α = 90.00°, β = 90.00°, γ = 90.00°
Fractional positions:
Zr 0.0000 0.5000 0.0000
Zr 0.5000 0.0000 0.0000
Cu 0.0000 0.0000 0.5000
Mo 0.0000 0.0000 0.0000
Cl 0.5000 0.5000 0.5000

Calculated values
SG: No. 123
Energy: -30.3 eV per cell
Magnetic moment: 0.0 μB/f.u.

What did we get for V? Answer: 129.4; 114.9; 117.8; 137.1; 339.6; 517.0; 256.6; 121.2 Å³ per cell, in the order shown.
What did we get for formation energy without anion corrections? Answer: 880; 1107; 388; 1100; -749; -807; -794; 722 meV/atom, in the order shown.